Entry 1:
DFT (GGA-PBE) results for PHIr2 after structural relaxation.

For the magnetic moment, the calculation gives 0.0 Bohr magnetons per cell. The energy above the most stable polymorph in this dataset comes out at 11.2 kJ per mole of atoms. Its symmetry is No. 225. For the density of states at the Fermi level, the calculation gives 0.76 states/eV/f.u. As for the crystal system: cubic.

Unit cell a=3.9917 b=3.9917 c=3.9917 alpha=60.00 beta=60.00 gamma=60.00
Last column: nearest neighbours and their distance in Å.
Sites, in units of the cell vectors:
H  0.0000  0.0000  0.0000  8 Ir 2.44
P  0.5000  0.5000  0.5000  8 Ir 2.44
Ir  0.2500  0.2500  0.2500  4 H 2.44, 4 P 2.44
Ir  0.7500  0.7500  0.7500  4 H 2.44, 4 P 2.44



Entry 2:
DFT (GGA-PBE) results for Pr5Y8Tm after structural relaxation.

For the magnetic moment, the calculation gives 0.0 Bohr magnetons per cell. The calculation puts the formation energy at 0.229 eV/atom. Its symmetry is No. 5. For the density of states at the Fermi level, the calculation gives 19.99 states/eV/f.u. As for the crystal system: monoclinic.

Unit cell a=8.8543 b=8.2900 c=8.8543 alpha=112.55 beta=109.09 gamma=109.59
Last column: nearest neighbours and their distance in Å.
Sites, in units of the cell vectors:
Pr  0.0312  0.3242  0.1561  8 Y 3.36-3.75, 1 Pr 3.53
Pr  0.8319  0.6758  0.7070  8 Y 3.36-3.75, 1 Pr 3.53
Y  0.0866  0.7637  0.4800  5 Pr 3.35-3.56, 1 Tm 3.53, 2 Y 3.73-3.75
Y  0.1533  0.7135  0.0732  4 Pr 3.21-3.53, 1 Tm 3.35
Y  0.6564  0.4002  0.9211  3 Pr 3.28-3.60, 1 Y 3.59
Y  0.3596  0.2865  0.4398  4 Pr 3.21-3.53, 1 Tm 3.35
Pr  0.3033  0.0863  0.9683  8 Y 3.35-3.69, 1 Pr 3.53
Y  0.9338  0.1161  0.6941  4 Pr 3.20-3.53, 1 Tm 3.25
Y  0.5209  0.5998  0.2562  3 Pr 3.28-3.60, 1 Y 3.59
Pr  0.8820  0.9137  0.2170  8 Y 3.35-3.69, 1 Pr 3.53
Y  0.7162  0.2363  0.3229  5 Pr 3.35-3.56, 1 Tm 3.53, 2 Y 3.73-3.75
Y  0.5780  0.8839  0.8176  4 Pr 3.20-3.53, 1 Tm 3.25
Tm  0.1904  0.5000  0.6904  6 Y 3.25-3.53
Pr  0.5064  0.0000  0.5064  8 Y 3.20-3.45



Entry 3:
DFT (GGA-PBE) results for AcEu2Pt after structural relaxation.

For the magnetic moment, the calculation gives 14.2 Bohr magnetons per cell. The calculation puts the formation energy at -0.456 eV/atom. The energy above the most stable polymorph in this dataset comes out at 0.0 kJ per mole of atoms. Its symmetry is No. 123. For the density of states at the Fermi level, the calculation gives 14.64 states/eV/f.u. As for the crystal system: tetragonal.

Unit cell a=3.7416 b=3.7416 c=9.3984 alpha=90.00 beta=90.00 gamma=90.00
Last column: nearest neighbours and their distance in Å.
Sites, in units of the cell vectors:
Pt  0.5000  0.5000  0.0000  8 Eu 3.12
Eu  0.0000  0.0000  0.1769  4 Pt 3.12, 1 Eu 3.32
Ac  0.5000  0.5000  0.5000  4 Ac 3.74, 8 Eu 4.03
Eu  0.0000  0.0000  0.8231  4 Pt 3.12, 1 Eu 3.32



Entry 4:
DFT (GGA-PBE) results for ZnRe2Br after structural relaxation.

For the magnetic moment, the calculation gives 0.0 Bohr magnetons per cell. The energy above the most stable polymorph in this dataset comes out at 64.1 kJ per mole of atoms. Its symmetry is No. 12. For the density of states at the Fermi level, the calculation gives 3.51 states/eV/f.u. Its uncorrected formation energy is 933 meV per atom. As for the crystal system: monoclinic.

Unit cell a=4.8708 b=4.8708 c=4.9076 alpha=78.39 beta=78.39 gamma=34.07
Last column: nearest neighbours and their distance in Å.
Sites, in units of the cell vectors:
Re  0.4867  0.4867  0.5096  3 Zn 2.68-2.94, 3 Br 2.77-2.89, 6 Re 2.81-2.89
Re  0.0133  0.0133  0.9904  3 Zn 2.68-2.94, 3 Br 2.77-2.89, 6 Re 2.81-2.89
Br  0.2500  0.2500  0.2500  6 Re 2.77-2.89, 4 Zn 2.84, 2 Br 2.85
Zn  0.7500  0.7500  0.7500  6 Re 2.68-2.94, 4 Br 2.84, 2 Zn 2.85



What is the magnetic moment in the first record?
0.0 Bohr magnetons per cell



Number 2 is which compound?
Pr5Y8Tm